1.
CaRe2Pt: relaxed, PBE-GGA.

- Uncorrected energy: -0.299 hartree per atom
- Energy of formation: 0.09 eV per atom

a = 3.0413 Å, b = 3.0413 Å, c = 7.8568 Å
α = 90.00°, β = 90.00°, γ = 90.00°
With the nearest neighbours (Å) after each atom.
Fractional positions:
Ca (0.0000, 0.0000, 0.0000)  4 Ca 3.04, 4 Pt 3.05, 4 Re 3.23
Re (0.0000, 0.0000, 0.5173)  4 Re 2.56
Re (0.5000, 0.5000, 0.6941)  4 Re 2.56
Pt (0.5000, 0.5000, 0.2746)  4 Re 2.87, 4 Pt 3.04, 4 Ca 3.05

***

2.
BaMgH2Rh: relaxed, PBE-GGA.

- Uncorrected energy: -0.105 hartree per atom

a = 4.3643 Å, b = 4.3643 Å, c = 5.4259 Å
α = 90.00°, β = 90.00°, γ = 90.00°
With the nearest neighbours (Å) after each atom.
Fractional positions:
Ba (0.0000, 0.0000, 0.0000)  2 Rh 2.71
Mg (0.5000, 0.5000, 0.0000)  4 Ba 3.09
H (0.0000, 0.5000, 0.5000)  2 Rh 2.18
H (0.5000, 0.0000, 0.5000)  2 Rh 2.18
Rh (0.0000, 0.0000, 0.5000)  4 H 2.18

***

3.
Er2Zn3Cu12Ge: relaxed, PBE-GGA.

- Uncorrected energy: -0.133 hartree per atom
- Energy of formation: 0.09 eV per atom

a = 9.5529 Å, b = 9.5529 Å, c = 9.5529 Å
α = 37.59°, β = 37.59°, γ = 37.59°
With the nearest neighbours (Å) after each atom.
Fractional positions:
Er (0.1430, 0.1430, 0.1430)  6 Cu 2.89-2.90
Er (0.8570, 0.8570, 0.8570)  6 Cu 2.89-2.90
Zn (0.0000, 0.5000, 0.5000)  4 Cu 2.37
Zn (0.5000, 0.0000, 0.5000)  4 Cu 2.37
Zn (0.5000, 0.5000, 0.0000)  4 Cu 2.37
Cu (0.0813, 0.0813, 0.6953)  2 Zn 2.37, 4 Cu 2.38-2.47
Cu (0.0813, 0.6953, 0.0813)  2 Zn 2.37, 4 Cu 2.38-2.47
Cu (0.0895, 0.6086, 0.6086)  2 Cu 2.47, 1 Ge 2.52, 1 Zn 2.72
Cu (0.3047, 0.9187, 0.9187)  2 Zn 2.37, 4 Cu 2.38-2.47
Cu (0.3914, 0.3914, 0.9105)  2 Cu 2.47, 1 Ge 2.52, 1 Zn 2.72
Cu (0.3914, 0.9105, 0.3914)  2 Cu 2.47, 1 Ge 2.52, 1 Zn 2.72
Cu (0.6086, 0.0895, 0.6086)  2 Cu 2.47, 1 Ge 2.52, 1 Zn 2.72
Cu (0.6086, 0.6086, 0.0895)  2 Cu 2.47, 1 Ge 2.52, 1 Zn 2.72
Cu (0.6953, 0.0813, 0.0813)  2 Zn 2.37, 4 Cu 2.38-2.47
Cu (0.9105, 0.3914, 0.3914)  2 Cu 2.47, 1 Ge 2.52, 1 Zn 2.72
Cu (0.9187, 0.3047, 0.9187)  2 Zn 2.37, 4 Cu 2.38-2.47
Cu (0.9187, 0.9187, 0.3047)  2 Zn 2.37, 4 Cu 2.38-2.47
Ge (0.5000, 0.5000, 0.5000)  6 Cu 2.52

***

4.
Ti3Te6H: relaxed, PBE-GGA.

- Uncorrected energy: -0.188 hartree per atom

a = 12.3880 Å, b = 3.7515 Å, c = 13.3531 Å
α = 90.00°, β = 109.30°, γ = 90.00°
With the nearest neighbours (Å) after each atom.
Fractional positions:
Ti (0.0050, 0.2500, 0.3954)  5 Te 2.69-2.77
Ti (0.2794, 0.7500, 0.2248)  6 Te 2.68-2.87
Ti (0.4242, 0.2500, 0.0740)  6 Te 2.77-2.85
Ti (0.5758, 0.7500, 0.9260)  6 Te 2.77-2.85
Ti (0.7206, 0.2500, 0.7752)  6 Te 2.68-2.87
Ti (0.9950, 0.7500, 0.6046)  5 Te 2.69-2.77
Te (0.0762, 0.7500, 0.2795)  3 Ti 2.76-2.84
Te (0.1558, 0.2500, 0.5943)  3 Ti 2.69-2.77
Te (0.1928, 0.2500, 0.0699)  3 Ti 2.73-2.85
Te (0.3436, 0.2500, 0.3966)  1 H 1.70
Te (0.3480, 0.7500, 0.9124)  3 Ti 2.77-2.78
Te (0.5003, 0.2500, 0.7617)  3 Ti 2.68-2.80
Te (0.4997, 0.7500, 0.2383)  3 Ti 2.68-2.80
Te (0.6520, 0.2500, 0.0876)  3 Ti 2.77-2.78
Te (0.6564, 0.7500, 0.6034)  1 H 1.70
Te (0.8072, 0.7500, 0.9301)  3 Ti 2.73-2.85
Te (0.8442, 0.7500, 0.4057)  3 Ti 2.69-2.77
Te (0.9238, 0.2500, 0.7205)  3 Ti 2.76-2.84
H (0.4875, 0.2500, 0.4221)  1 Te 1.70
H (0.5125, 0.7500, 0.5779)  1 Te 1.70

***

5.
InCu2Pt: relaxed, PBE-GGA.

- Uncorrected energy: -0.153 hartree per atom
- Energy of formation: 0.08 eV per atom

a = 8.6017 Å, b = 8.6017 Å, c = 8.6017 Å
α = 19.68°, β = 19.68°, γ = 19.68°
With the nearest neighbours (Å) after each atom.
Fractional positions:
In (0.0000, 0.0000, 0.0000)  3 Cu 2.81, 3 Pt 2.85, 6 In 2.94
Cu (0.2449, 0.2449, 0.2449)  3 Cu 2.52, 3 In 2.81
Cu (0.5049, 0.5049, 0.5049)  3 Cu 2.52, 3 Pt 2.66
Pt (0.7572, 0.7572, 0.7572)  3 Cu 2.66, 3 In 2.85, 6 Pt 2.94

***

6.
Hf2CuReH: relaxed, PBE-GGA.

- Uncorrected energy: -0.299 hartree per atom

a = 4.4677 Å, b = 4.4677 Å, c = 3.6392 Å
α = 90.00°, β = 90.00°, γ = 90.00°
With the nearest neighbours (Å) after each atom.
Fractional positions:
Hf (0.0000, 0.5000, 0.0000)  2 H 2.23
Hf (0.5000, 0.0000, 0.0000)  2 H 2.23
Cu (0.0000, 0.0000, 0.5000)  8 Hf 2.88, 4 Re 3.16
Re (0.5000, 0.5000, 0.5000)  2 H 1.82
H (0.5000, 0.5000, 0.0000)  2 Re 1.82

***

7.
LiTbTl2I6: relaxed, PBE-GGA.

- Uncorrected energy: -0.114 hartree per atom
- Formation energy from raw total energies: -1.05 eV/atom

a = 8.0413 Å, b = 8.5217 Å, c = 14.0318 Å
α = 90.00°, β = 124.33°, γ = 90.00°
With the nearest neighbours (Å) after each atom.
Fractional positions:
Li (0.0000, 0.0000, 0.0000)  6 I 3.01-3.07
Li (0.0000, 0.5000, 0.5000)  6 I 3.01-3.07
Tb (0.5000, 0.0000, 0.5000)  6 I 3.05-3.06
Tb (0.5000, 0.5000, 0.0000)  6 I 3.05-3.06
Tl (0.2120, 0.0902, 0.7443)  6 I 3.52-3.72
Tl (0.2120, 0.4098, 0.2443)  6 I 3.52-3.72
Tl (0.7880, 0.5902, 0.7557)  6 I 3.52-3.72
Tl (0.7880, 0.9098, 0.2557)  6 I 3.52-3.72
I (0.1398, 0.1949, 0.4490)  1 Tb 3.05, 1 Li 3.07
I (0.1398, 0.3051, 0.9490)  1 Tb 3.05, 1 Li 3.07
I (0.2597, 0.6973, 0.4489)  1 Tb 3.06, 1 Li 3.06
I (0.2597, 0.8027, 0.9489)  1 Tb 3.06, 1 Li 3.06
I (0.3546, 0.0182, 0.2473)  1 Li 3.01, 1 Tb 3.05
I (0.3546, 0.4818, 0.7473)  1 Li 3.01, 1 Tb 3.05
I (0.6454, 0.5182, 0.2527)  1 Li 3.01, 1 Tb 3.05
I (0.6454, 0.9818, 0.7527)  1 Li 3.01, 1 Tb 3.05
I (0.7403, 0.1973, 0.0511)  1 Tb 3.06, 1 Li 3.06
I (0.7403, 0.3027, 0.5511)  1 Tb 3.06, 1 Li 3.06
I (0.8602, 0.6949, 0.0510)  1 Tb 3.05, 1 Li 3.07
I (0.8602, 0.8051, 0.5510)  1 Tb 3.05, 1 Li 3.07

***

8.
Ca2AlMo: relaxed, PBE-GGA.

- Uncorrected energy: -0.153 hartree per atom
- Energy of formation: 0.48 eV per atom

a = 10.3065 Å, b = 10.3065 Å, c = 10.3065 Å
α = 18.89°, β = 18.89°, γ = 18.89°
With the nearest neighbours (Å) after each atom.
Fractional positions:
Ca (0.0000, 0.0000, 0.0000)  3 Mo 3.08, 6 Ca 3.38
Ca (0.2203, 0.2203, 0.2203)  3 Al 3.19, 6 Ca 3.38
Al (0.4708, 0.4708, 0.4708)  3 Mo 2.65
Mo (0.7449, 0.7449, 0.7449)  3 Al 2.65

***

N(E_F) for every record listed, in sequence, given in states/eV/cell: 4.67, 1.45, 7.61, 11.32, 3.07, 2.21, 0.00, 3.15.
Total magnetization for every record listed, in sequence, given in μB/cell: 0.0, 0.0, 0.0, 0.9, 0.0, 0.0, 0.0, 0.9.